# LiCdF4 (PBE, optimized geometry)
# total magnetization: 2.1 μB per cell
# E_form (uncorrected): -2003 meV per atom
# final energy: -0.137 Ha/atom
data_LiCdF4
_cell_length_a 5.186
_cell_length_b 4.963
_cell_length_c 6.127
_cell_angle_alpha 90.00
_cell_angle_beta 90.00
_cell_angle_gamma 90.00
_symmetry_space_group_name_H-M 'P n c 2'
_symmetry_Int_Tables_number 30
_symmetry_space_group_name_Hall 'P 2 -2bc'
loop_
_atom_site_label
_atom_site_fract_x
_atom_site_fract_y
_atom_site_fract_z
Li1 0.000 0.000 0.000
Cd1 0.500 0.000 0.673
F1 0.168 0.241 0.716
F2 0.311 0.728 0.442